First-principles (PBE+U) data for a geometry-optimized GdInCoO3 structure, as listed in OQMD via LeMat-Bulk.

Lattice parameters (Å, degrees): 3.2046 6.4944 8.8294 90.00 79.54 90.00
Last column: nearest neighbours and their distance in Å.
Atoms (fractional coordinates):
In1 0.7982 0.7500 0.4036  2 O 2.24
In2 0.2018 0.2500 0.5964  2 O 2.24
O1 0.1300 0.9641 0.7401  2 Co 2.13, 1 In 2.24, 1 Gd 2.27
O2 0.5010 0.2500 0.9979  4 Gd 2.28, 1 Co 2.45
O3 0.1300 0.5359 0.7401  2 Co 2.13, 1 In 2.24, 1 Gd 2.27
O4 0.4990 0.7500 0.0021  4 Gd 2.28, 1 Co 2.45
O5 0.8700 0.4641 0.2599  2 Co 2.13, 1 In 2.24, 1 Gd 2.27
O6 0.8700 0.0359 0.2599  2 Co 2.13, 1 In 2.24, 1 Gd 2.27
Co1 0.6400 0.7500 0.7201  4 O 2.13
Co2 0.3600 0.2500 0.2799  4 O 2.13
Gd1 0.0000 0.0000 0.0000  6 O 2.27-2.28
Gd2 0.0000 0.5000 0.0000  6 O 2.27-2.28

Calculated total energy ... -76.10 eV per cell
Space-group type ... Cmcm